DFT (PBE+U) results for a geometry-optimized LiFe2PO structure.

Lattice parameters (Å, degrees): 4.0503 4.7290 4.0503 90.00 90.00 90.00
Site moments in Bohr magnetons follow the coordinates.
Element x y z (fractional)
Li 0.5000 0.5000 0.5000  -0.01
P 0.0000 0.5000 0.0000  0.06
O 0.0000 0.0000 0.0000  0.03
Fe 0.0000 0.0000 0.5000  3.65
Fe 0.5000 0.0000 0.0000  3.53

For the electronic total energy, the calculation gives -23.11 eV for the cell shown. The total magnetization is 1.47 μB per atom.

DFT (PBE+U) results for a geometry-optimized Li2FeP2O7 structure.

Lattice parameters (Å, degrees): 5.1601 6.8368 16.6237 87.44 82.97 65.23
Site moments in Bohr magnetons follow the coordinates.
Element x y z (fractional)
O 0.7268 0.1066 0.6435  0.00
O 0.3136 0.8756 0.5086  0.00
O 0.7499 0.9218 0.7733  0.02
O 0.8999 0.3420 0.5655  0.02
O 0.2725 0.8936 0.3565  0.00
O 0.3197 0.2429 0.3536  0.01
O 0.9012 0.8416 0.0655  0.02
O 0.6854 0.1246 0.4914  0.00
O 0.7329 0.9086 0.2855  0.03
O 0.2733 0.3932 0.8564  0.00
O 0.0989 0.6584 0.4345  0.02
O 0.7500 0.4218 0.2733  0.02
O 0.2499 0.0783 0.2267  0.02
O 0.6402 0.5618 0.4198  0.01
O 0.3598 0.9382 0.0802  0.01
O 0.2671 0.5915 0.2145  0.03
O 0.2666 0.0915 0.7146  0.03
O 0.2500 0.5782 0.7267  0.02
O 0.1001 0.1580 0.9345  0.02
O 0.3202 0.7427 0.8536  0.01
O 0.3146 0.3755 0.0086  0.00
O 0.7333 0.4085 0.7854  0.03
O 0.7276 0.6064 0.1435  0.00
O 0.6864 0.6244 0.9914  0.00
O 0.3586 0.4383 0.5802  0.01
O 0.6798 0.7573 0.6464  0.01
O 0.6804 0.2571 0.1464  0.01
O 0.6414 0.0617 0.9198  0.01
P 0.3358 0.7386 0.4353  0.00
P 0.5965 0.9626 0.6979  0.01
P 0.4031 0.0375 0.3022  0.01
P 0.6632 0.2617 0.5647  0.00
P 0.4035 0.5374 0.8021  0.01
P 0.6642 0.7614 0.0647  0.00
P 0.3369 0.2383 0.9353  0.00
P 0.5969 0.4625 0.1978  0.01
Fe 0.0231 0.9262 0.1734  3.79
Fe 0.0224 0.4263 0.6734  3.79
Fe 0.9769 0.5738 0.3266  3.79
Fe 0.9775 0.0737 0.8266  3.79
Li 0.3334 0.2170 0.1212  0.00
Li 0.3328 0.7170 0.6212  0.00
Li 0.7520 0.7924 0.5150  0.00
Li 0.7533 0.2917 0.0150  0.00
Li 0.6672 0.7830 0.8788  0.00
Li 0.2467 0.2083 0.4850  0.00
Li 0.6666 0.2830 0.3788  0.00
Li 0.2480 0.7076 0.9850  0.00

The distance to the lowest polymorph of the same formula comes out at 3.7 kJ per mole of atoms. The total magnetization is 0.33 μB per atom.

DFT (PBE+U) results for a geometry-optimized LiFeP3O9 structure.

Lattice parameters (Å, degrees): 7.3206 9.2772 12.4245 90.00 90.00 90.00
Site moments in Bohr magnetons follow the coordinates.
Element x y z (fractional)
O 0.0245 0.3521 0.2290  0.02
O 0.2500 0.8030 0.8182  0.00
O 0.5245 0.1479 0.7290  0.02
O 0.4206 0.6680 0.9648  0.00
O 0.4397 0.1119 0.1246  0.01
O 0.0603 0.6119 0.3754  0.01
O 0.7500 0.6970 0.3182  0.00
O 0.7500 0.4075 0.8675  0.01
O 0.5603 0.3881 0.6246  0.01
O 0.9755 0.6479 0.7710  0.02
O 0.7500 0.1403 0.9298  0.01
O 0.9206 0.8320 0.4648  0.00
O 0.2500 0.3030 0.6818  0.00
O 0.5245 0.6479 0.7710  0.02
O 0.7500 0.9075 0.6325  0.01
O 0.2500 0.8597 0.0702  0.01
O 0.2500 0.0925 0.3675  0.01
O 0.7500 0.6403 0.5702  0.01
O 0.5794 0.8320 0.4648  0.00
O 0.0603 0.1119 0.1246  0.01
O 0.9397 0.8881 0.8754  0.01
O 0.5794 0.3320 0.0352  0.00
O 0.4755 0.3521 0.2290  0.02
O 0.5603 0.8881 0.8754  0.01
O 0.7500 0.1970 0.1818  0.00
O 0.0245 0.8521 0.2710  0.02
O 0.9206 0.3320 0.0352  0.00
O 0.4397 0.6119 0.3754  0.01
O 0.0794 0.1680 0.5352  0.00
O 0.4755 0.8521 0.2710  0.02
O 0.0794 0.6680 0.9648  0.00
O 0.9755 0.1479 0.7290  0.02
O 0.2500 0.3597 0.4298  0.01
O 0.2500 0.5925 0.1325  0.01
O 0.4206 0.1680 0.5352  0.00
O 0.9397 0.3881 0.6246  0.01
P 0.9537 0.7478 0.3520  0.01
P 0.0463 0.7522 0.8520  0.01
P 0.4537 0.2522 0.6480  0.01
P 0.2500 0.7004 0.0451  0.01
P 0.0463 0.2522 0.6480  0.01
P 0.4537 0.7522 0.8520  0.01
P 0.5463 0.2478 0.1480  0.01
P 0.2500 0.2004 0.4549  0.01
P 0.9537 0.2478 0.1480  0.01
P 0.7500 0.2996 0.9549  0.01
P 0.7500 0.7996 0.5451  0.01
P 0.5463 0.7478 0.3520  0.01
Li 0.2500 0.0547 0.0192  0.00
Li 0.2500 0.5547 0.4808  0.00
Li 0.7500 0.4453 0.5192  0.00
Li 0.7500 0.9453 0.9808  0.00
Fe 0.7500 0.5271 0.7246  3.79
Fe 0.7500 0.0271 0.7754  3.79
Fe 0.2500 0.4729 0.2754  3.79
Fe 0.2500 0.9729 0.2246  3.79

The distance to the lowest polymorph of the same formula comes out at 3.9 kJ per mole of atoms. The total magnetization is 0.29 μB per atom.